No. 1
Density functional theory data (PBEsol) for an optimized crystal structure of MgMn2Cl.

```
MgMn2Cl
1.0
-2.173 2.895 0.904
-1.229 0.176 -3.518
-2.108 -4.761 2.477
Mg Mn Cl
1 2 1
direct
0.000 0.000 0.000 Mg
0.750 0.250 0.500 Mn
0.250 0.750 0.500 Mn
0.500 0.500 0.000 Cl
```

Values from the calculation:
Energy above the lowest structure with this stoichiometry   406.8 meV/atom
Formation energy (no corrections)   173 kJ/mol of formula units
E   -5.363 eV/atom
Crystal system   tetragonal
Space-group type   I4/mmm (139)

=====

No. 2
Density functional theory data (PBEsol) for an optimized crystal structure of KSrRuPb2.

```
KSrRuPb2
1.0
5.626 0.000 0.000
0.000 5.626 0.000
0.000 0.000 5.591
Sr Pb K Ru
1 2 1 1
direct
0.000 0.000 0.500 Sr
0.000 0.500 0.000 Pb
0.500 0.000 0.000 Pb
0.000 0.000 0.000 K
0.500 0.500 0.500 Ru
```

Values from the calculation:
E   -2.513 eV/atom
Crystal system   tetragonal
Space-group type   P4/mmm (123)

=====

No. 3
Density functional theory data (PBEsol) for an optimized crystal structure of Tb5CoSb2.

```
Tb5CoSb2
1.0
7.770 0.000 0.000
0.000 8.674 0.000
0.000 0.000 12.039
Tb Sb Co
20 8 4
direct
0.348 0.750 0.297 Tb
0.456 0.750 0.002 Tb
0.320 0.464 0.564 Tb
0.956 0.250 0.498 Tb
0.544 0.250 0.998 Tb
0.848 0.250 0.203 Tb
0.652 0.250 0.703 Tb
0.820 0.536 0.936 Tb
0.680 0.964 0.436 Tb
0.879 0.750 0.195 Tb
0.180 0.464 0.064 Tb
0.621 0.750 0.695 Tb
0.379 0.250 0.305 Tb
0.320 0.036 0.564 Tb
0.044 0.750 0.502 Tb
0.121 0.250 0.805 Tb
0.152 0.750 0.797 Tb
0.680 0.536 0.436 Tb
0.820 0.964 0.936 Tb
0.180 0.036 0.064 Tb
0.426 0.492 0.827 Sb
0.926 0.508 0.673 Sb
0.574 0.508 0.173 Sb
0.426 0.008 0.827 Sb
0.074 0.492 0.327 Sb
0.926 0.992 0.673 Sb
0.574 0.992 0.173 Sb
0.074 0.008 0.327 Sb
0.569 0.250 0.489 Co
0.431 0.750 0.511 Co
0.931 0.250 0.989 Co
0.069 0.750 0.011 Co
```

Values from the calculation:
Formation energy (no corrections)   -568 kJ/mol of formula units
E   -5.973 eV/atom
Crystal system   orthorhombic
Space-group type   Pnma (62)

=====

No. 4
Density functional theory data (PBEsol) for an optimized crystal structure of RePt2Pb.

```
RePt2Pb
1.0
-1.148 -2.561 -0.529
3.064 -2.079 3.415
-4.375 1.557 1.952
Pb Re Pt
1 1 2
direct
0.500 0.500 0.500 Pb
0.500 0.000 0.000 Re
0.000 0.000 0.500 Pt
0.000 0.500 0.000 Pt
```

Values from the calculation:
E   -7.447 eV/atom
Crystal system   orthorhombic
Space-group type   Cmmm (65)

=====

No. 5
Density functional theory data (PBEsol) for an optimized crystal structure of TaGaTc3.

```
TaGaTc3
1.0
4.668 0.000 0.000
0.000 4.668 0.000
0.000 0.000 4.668
Tc Ta Ga
3 1 1
direct
0.000 0.500 0.000 Tc
0.500 0.000 0.000 Tc
0.000 0.000 0.500 Tc
0.000 0.000 0.000 Ta
0.500 0.500 0.500 Ga
```

Values from the calculation:
E   -8.078 eV/atom
Crystal system   cubic
Space-group type   Pm-3m (221)

=====

No. 6
Density functional theory data (PBEsol) for an optimized crystal structure of TaTl2Se.

```
TaTl2Se
1.0
-1.694 -2.670 0.401
3.132 -0.565 0.171
-0.223 1.496 9.007
Tl Se Ta
2 1 1
direct
0.000 0.000 0.251 Tl
0.000 0.000 0.749 Tl
0.500 0.500 0.500 Se
0.500 0.500 0.000 Ta
```

Values from the calculation:
Energy above the lowest structure with this stoichiometry   407.6 meV/atom
Formation energy (no corrections)   209 kJ/mol of formula units
E   -4.874 eV/atom
Crystal system   orthorhombic
Space-group type   Cmmm (65)

=====

No. 7
Density functional theory data (PBEsol) for an optimized crystal structure of Re3Te.

```
Re3Te
1.0
2.979 0.000 0.000
0.000 4.600 0.000
-1.490 -2.300 4.727
Te Re
1 3
direct
0.000 0.649 0.000 Te
0.781 0.778 0.561 Re
0.500 0.189 0.000 Re
0.219 0.217 0.439 Re
```

Values from the calculation:
Formation energy (no corrections)   221 kJ/mol of formula units
E   -10.308 eV/atom
Crystal system   orthorhombic
Space-group type   Imm2 (44)

=====

No. 8
Density functional theory data (PBEsol) for an optimized crystal structure of LiTlAs2.

```
LiTlAs2
1.0
4.102 0.000 0.000
0.000 4.102 0.000
0.000 0.000 4.784
As Li Tl
2 1 1
direct
0.500 0.000 0.000 As
0.000 0.500 0.000 As
0.500 0.500 0.500 Li
0.000 0.000 0.500 Tl
```

Values from the calculation:
E   -3.767 eV/atom
Crystal system   tetragonal
Space-group type   P4/mmm (123)

=====

What is the E in the sixth record?
-4.874 eV/atom

=====

Look up the E of the fourth one.
-7.447 eV/atom